An optimized crystal structure of SrTePdO. Source: the Open Quantum Materials Database, functional PBE-GGA.

The structure in POSCAR format:
```
SrTePdO
1.0
6.304 -2.184 0.000
6.304 2.184 0.000
0.000 0.000 6.439
Te Pd Sr O
2 2 2 2
direct
0.400 0.400 0.533
0.600 0.600 0.033
0.000 0.000 0.289
0.000 0.000 0.789
0.324 0.324 0.032
0.676 0.676 0.532
0.103 0.103 0.539
0.897 0.897 0.039
```

Output
ρ: 6.32 Mg/m³
Excess energy over the best structure of this formula in the dataset: 0.129 eV/atom